# PBE Ac5PmTl6, relaxed
data_Ac5PmTl6
_symmetry_space_group_name_H-M 'P 1'
_symmetry_Int_Tables_number 1
_cell_length_a 5.8074
_cell_length_b 10.0072
_cell_length_c 10.0315
_cell_angle_alpha 60.08
_cell_angle_beta 73.22
_cell_angle_gamma 54.63
loop_
_symmetry_equiv_pos_as_xyz
'x,y,z'
loop_
_atom_site_label
_atom_site_fract_x
_atom_site_fract_y
_atom_site_fract_z
Ac1 0.5000 0.1734 0.6532
Ac2 0.0000 0.3372 0.3257
Ac3 0.5000 0.5000 0.0000
Ac4 0.0000 0.6628 0.6743
Ac5 0.5000 0.8266 0.3468
Pm1 0.0000 0.0000 0.0000
Tl1 0.7618 0.0781 0.3223
Tl2 0.2382 0.5996 0.3223
Tl3 0.2709 0.2307 0.0000
Tl4 0.7291 0.7693 0.0000
Tl5 0.7618 0.4004 0.6777
Tl6 0.2382 0.9219 0.6777
# SG	C2/m (12)
# calculated formation energy	-350	meV/atom
# calculated volume	412.0	Å³/cell